Record 1
Computed, not measured: a crystal of KCuNiI2 relaxed with PBEsol at the SCAN level of DFT.

Output
The uncorrected formation energy comes out at 1.12 eV per atom.

a = 6.0864 Å, b = 6.0864 Å, c = 5.0304 Å
α = 90.00°, β = 90.00°, γ = 90.00°
With the nearest neighbours (Å) after each atom.
Space group P4/mmm (No. 123)
Symmetry-distinct sites (fractional):
K 0.0000 0.0000 0.0000  2 Cu 2.52
Cu 0.0000 0.0000 0.5000  2 K 2.52
Ni 0.5000 0.5000 0.5000  8 I 3.95, 4 Cu 4.30
I 0.0000 0.5000 0.0000  2 K 3.04

=====

Record 2
Computed, not measured: a crystal of Y2FePb relaxed with PBEsol at the SCAN level of DFT.

Output
The calculation puts the energy at -149.735 eV per cell.

a = 3.5746 Å, b = 4.4127 Å, c = 6.2615 Å
α = 90.00°, β = 90.00°, γ = 90.00°
With the nearest neighbours (Å) after each atom.
Space group Pmm2 (No. 25)
Symmetry-distinct sites (fractional):
Y 0.0000 0.0000 0.0000  1 Fe 2.95, 4 Pb 3.14
Y 0.5000 0.5000 0.3154  2 Pb 2.95-3.31, 4 Fe 3.00
Fe 0.0000 0.0000 0.4714  5 Y 2.95-3.00
Pb 0.5000 0.5000 0.7871  6 Y 2.95-3.31

=====

Record 3
Computed, not measured: a crystal of Ba2Mg relaxed with PBEsol at the SCAN level of DFT.

Output
The calculation puts the energy at -83.654 eV per cell.

a = 4.1353 Å, b = 4.1353 Å, c = 9.4165 Å
α = 90.00°, β = 90.00°, γ = 120.00°
With the nearest neighbours (Å) after each atom.
Space group P-3m1 (No. 164)
Symmetry-distinct sites (fractional):
Ba 0.3333 0.6667 0.2001  3 Mg 3.70, 6 Ba 4.14
Mg 0.0000 0.0000 0.5000  6 Ba 3.70, 6 Mg 4.14

=====

Record 4
Computed, not measured: a crystal of ThBiAu2 relaxed with PBEsol at the SCAN level of DFT.

Output
The calculation puts the energy at -1261.208 eV per cell.

a = 7.2104 Å, b = 7.2104 Å, c = 7.2104 Å
α = 90.00°, β = 90.00°, γ = 90.00°
With the nearest neighbours (Å) after each atom.
Space group Fm-3m (No. 225)
Symmetry-distinct sites (fractional):
Th 0.0000 0.0000 0.0000  8 Au 3.12
Bi 0.0000 0.0000 0.5000  8 Au 3.12
Au 0.2500 0.2500 0.2500  4 Th 3.12, 4 Bi 3.12

=====

Record 5
Computed, not measured: a crystal of Ta3Zn2Bi3O14 relaxed with PBEsol at the SCAN level of DFT.

Output
The uncorrected formation energy comes out at -2.15 eV per atom.

a = 7.4907 Å, b = 7.4907 Å, c = 17.3309 Å
α = 90.00°, β = 90.00°, γ = 120.00°
With the nearest neighbours (Å) after each atom.
Space group R-3m (No. 166, hexagonal axes)
Symmetry-distinct sites (fractional):
Ta 0.0000 0.5000 0.0000  6 O 1.97-1.98
Zn 0.0000 0.0000 0.0000  2 O 1.86
Zn 0.0000 0.0000 0.5000  6 O 2.13
Bi 0.0000 0.5000 0.5000  8 O 2.39-2.63
O 0.0000 0.0000 0.1073  1 Zn 1.86
O 0.0375 0.5188 0.1128  1 Ta 1.97, 1 Zn 2.13
O 0.0782 0.5391 0.3509  2 Ta 1.98

=====

Record 6
Computed, not measured: a crystal of YCdAg2S relaxed with PBEsol at the SCAN level of DFT.

Output
The uncorrected formation energy comes out at 0.21 eV per atom.

a = 4.9844 Å, b = 4.9844 Å, c = 4.9264 Å
α = 90.00°, β = 90.00°, γ = 90.00°
With the nearest neighbours (Å) after each atom.
Space group P4/mmm (No. 123)
Symmetry-distinct sites (fractional):
Y 0.0000 0.0000 0.0000  8 Ag 3.50, 4 S 3.52
Cd 0.5000 0.5000 0.5000  2 S 2.46, 4 Ag 2.49
Ag 0.0000 0.5000 0.5000  2 Cd 2.49
S 0.5000 0.5000 0.0000  2 Cd 2.46

=====

Record 7
Computed, not measured: a crystal of AlIn2Fe relaxed with PBEsol at the SCAN level of DFT.

Output
The calculation puts the energy at -183.031 eV per cell.

a = 9.6531 Å, b = 2.9700 Å, c = 5.1337 Å
α = 90.00°, β = 100.65°, γ = 90.00°
With the nearest neighbours (Å) after each atom.
Space group C2/m (No. 12)
Symmetry-distinct sites (fractional):
Al 0.0000 0.0000 0.0000  6 In 2.84-3.05, 4 Fe 2.97, 2 Al 2.97
In 0.2345 0.0000 0.7367  3 Fe 2.79-3.03, 3 Al 2.84-3.05, 6 In 2.91-3.05
Fe 0.0000 0.5000 0.5000  6 In 2.79-3.03, 4 Al 2.97, 2 Fe 2.97

=====

Record 8
Computed, not measured: a crystal of RuSIN2 relaxed with PBEsol at the SCAN level of DFT.

Output
The uncorrected formation energy comes out at 2.22 eV per atom.

a = 3.8576 Å, b = 3.8576 Å, c = 5.3566 Å
α = 90.00°, β = 90.00°, γ = 90.00°
With the nearest neighbours (Å) after each atom.
Space group P4/mmm (No. 123)
Symmetry-distinct sites (fractional):
Ru 0.0000 0.0000 0.0000  4 S 2.73
S 0.5000 0.5000 0.0000  2 I 2.68, 4 Ru 2.73
I 0.5000 0.5000 0.5000  4 N 1.93
N 0.0000 0.5000 0.5000  2 I 1.93

=====

Record 9
Computed, not measured: a crystal of Tb3Eu relaxed with PBEsol at the SCAN level of DFT.

Output
Its energy above the most stable polymorph in this dataset is 0 meV per atom.

a = 4.9849 Å, b = 4.9849 Å, c = 9.9917 Å
α = 90.00°, β = 90.00°, γ = 90.00°
With the nearest neighbours (Å) after each atom.
Space group I4/mmm (No. 139)
Symmetry-distinct sites (fractional):
Tb 0.0000 0.0000 0.0000  4 Eu 3.52, 8 Tb 3.53
Tb 0.0000 0.5000 0.2500  8 Tb 3.52-3.53, 4 Eu 3.53
Eu 0.0000 0.0000 0.5000  12 Tb 3.52-3.53

=====

Record 10
Computed, not measured: a crystal of BaSrRu relaxed with PBEsol at the SCAN level of DFT.

Output
Its energy above the most stable polymorph in this dataset is 0 meV per atom.

a = 3.6245 Å, b = 3.6245 Å, c = 14.6561 Å
α = 90.00°, β = 90.00°, γ = 90.00°
With the nearest neighbours (Å) after each atom.
Space group I4mm (No. 107)
Symmetry-distinct sites (fractional):
Ba 0.0000 0.0000 0.0000  4 Ru 3.14
Sr 0.0000 0.0000 0.7584  4 Ru 3.09
Ru 0.0000 0.0000 0.3759  4 Sr 3.09, 4 Ba 3.14

=====

Record 11
Computed, not measured: a crystal of CuSiAg2 relaxed with PBEsol at the SCAN level of DFT.

Output
The uncorrected formation energy comes out at 0.16 eV per atom.

a = 2.8153 Å, b = 2.8153 Å, c = 25.7245 Å
α = 90.00°, β = 90.00°, γ = 120.00°
With the nearest neighbours (Å) after each atom.
Space group R3m (No. 160, hexagonal axes)
Symmetry-distinct sites (fractional):
Cu 0.0000 0.0000 0.0000  3 Si 2.44, 3 Ag 2.71
Si 0.0000 0.0000 0.7374  3 Cu 2.44, 3 Ag 2.73
Ag 0.0000 0.0000 0.2493  3 Cu 2.71, 9 Ag 2.82-2.90
Ag 0.0000 0.0000 0.4893  3 Si 2.73, 9 Ag 2.82-2.90

=====

Record 12
Computed, not measured: a crystal of Be2FeAu relaxed with PBEsol at the SCAN level of DFT.

Output
The calculation puts the energy at -192.824 eV per cell.

a = 8.5247 Å, b = 2.6299 Å, c = 4.0813 Å
α = 90.00°, β = 107.49°, γ = 90.00°
With the nearest neighbours (Å) after each atom.
Space group Cm (No. 8)
Symmetry-distinct sites (fractional):
Be 0.0000 0.0000 0.0000  3 Fe 2.35-2.43, 4 Be 2.36-2.63, 4 Au 2.42-2.45
Be 0.2220 0.5000 0.3292  4 Be 2.36-2.63, 4 Fe 2.37-2.50, 3 Au 2.40-2.43
Fe 0.2493 0.0000 0.8651  7 Be 2.35-2.50, 2 Fe 2.63
Au 0.4726 0.0000 0.4875  7 Be 2.40-2.45, 2 Au 2.63, 1 Fe 2.68

=====

Number 1: Fermi-level density of states 1.55 states/eV per atom. Number 2: Fermi-level density of states 0.67 states/eV per atom. Number 3: Fermi-level density of states 1.38 states/eV per atom. Number 4: Fermi-level density of states 0.62 states/eV per atom. Number 5: Fermi-level density of states 0.00 states/eV per atom. Number 6: Fermi-level density of states 0.47 states/eV per atom. Number 7: Fermi-level density of states 0.41 states/eV per atom. Number 8: Fermi-level density of states 0.97 states/eV per atom. Number 9: Fermi-level density of states 1.46 states/eV per atom. Number 10: Fermi-level density of states 0.93 states/eV per atom. Number 11: Fermi-level density of states 0.34 states/eV per atom. Number 12: Fermi-level density of states 0.44 states/eV per atom.